Computed, not measured: crystalline NaTl2Hg4Au2 at its relaxed geometry at the GGA-PBE level of DFT.

Results
* formation energy from the elements: -0.0555 eV/atom
* Fermi-level density of states: 0.2550 states/eV/atom
* space group: No. 2
* volume: 26.0 A^3/atom

abc: 5.2951 6.8894 7.1066
angles: 107.21 106.43 94.38
Atoms (fractional coordinates):
Na: 0.0000 0.0000 0.0000
Tl: 0.3531 0.0657 0.6867
Tl: 0.6469 0.9343 0.3133
Hg: 0.0988 0.6384 0.2208
Hg: 0.4707 0.6524 0.8024
Hg: 0.5293 0.3476 0.1976
Hg: 0.9012 0.3616 0.7792
Au: 0.1143 0.3103 0.4210
Au: 0.8857 0.6897 0.5790